# PBE PrNbNi10, relaxed
data_PrNbNi10
_symmetry_space_group_name_H-M 'P m m m'
_symmetry_Int_Tables_number 47
_cell_length_a 3.9785
_cell_length_b 4.7996
_cell_length_c 8.3685
_cell_angle_alpha 90.00
_cell_angle_beta 90.00
_cell_angle_gamma 90.00
loop_
_symmetry_equiv_pos_as_xyz
'x,y,z'
'-x,-y,-z'
'-x,-y,z'
'x,y,-z'
'x,-y,-z'
'-x,y,z'
'-x,y,-z'
'x,-y,z'
loop_
_atom_site_label
_atom_site_fract_x
_atom_site_fract_y
_atom_site_fract_z
Pr1 0.0000 0.0000 0.0000
Nb1 0.0000 0.5000 0.5000
Ni1 0.0000 0.0000 0.3459
Ni2 0.0000 0.5000 0.1877
Ni3 0.5000 0.0000 0.5000
Ni4 0.5000 0.2575 0.2637
Ni5 0.5000 0.5000 0.0000
# * VASP energy: -0.2278 hartree per atom
# * energy of formation from the pure elements: -0.144 eV per atom
# * N(E_F): 14.96 states/eV per cell